# 1
Here is a relaxed TaAg2Br crystal from the Alexandria database. Energies are from GGA-PBE.

Unit cell a=5.848 b=5.848 c=5.848 alpha=141.21 beta=141.21 gamma=56.01
Fractional coordinates of all 4 atoms:
Ta: 0.000 0.000 0.000
Ag: 0.250 0.750 0.500
Ag: 0.750 0.250 0.500
Br: 0.500 0.500 0.000

Summary:
DOS(E_F), states/eV per atom: 0.7368
Volume, Å³/cell: 78
Distance to the lowest polymorph of the same formula, meV per atom: 608.1
Formation energy from raw total energies, eV per atom: 0.8198
Final energy, eV/atom: -3.987

***

# 2
Here is a relaxed Ti3CdB crystal from the Alexandria database. Energies are from GGA-PBE.

Unit cell a=4.879 b=4.879 c=4.879 alpha=90.00 beta=90.00 gamma=90.00
Fractional coordinates of all 5 atoms:
Ti: 0.000 0.000 0.500
Ti: 0.000 0.500 0.000
Ti: 0.500 0.000 0.000
Cd: 0.000 0.000 0.000
B: 0.500 0.500 0.500

Summary:
DOS(E_F), states/eV per atom: 1.5146
Volume, Å³/cell: 116
Distance to the lowest polymorph of the same formula, meV per atom: 2236.5
Final energy, eV/atom: -4.253
ΔH_f (0 K), eV per formula unit: 10.0

***

# 3
Here is a relaxed BeH crystal from the Alexandria database. Energies are from GGA-PBE.

Unit cell a=7.284 b=7.284 c=2.056 alpha=90.00 beta=90.00 gamma=120.00
Fractional coordinates of all 12 atoms:
Be: 0.146 0.669 0.250
Be: 0.331 0.477 0.250
Be: 0.477 0.146 0.750
Be: 0.523 0.854 0.250
Be: 0.669 0.523 0.750
Be: 0.854 0.331 0.750
H: 0.097 0.773 0.750
H: 0.227 0.324 0.750
H: 0.324 0.097 0.250
H: 0.676 0.903 0.750
H: 0.773 0.676 0.250
H: 0.903 0.227 0.250

Summary:
DOS(E_F), states/eV per atom: 0.1247
Volume, Å³/cell: 94
Distance to the lowest polymorph of the same formula, meV per atom: 131.3
Final energy, eV/atom: -3.298

***

# 4
Here is a relaxed In4NiHg crystal from the Alexandria database. Energies are from GGA-PBE.

Unit cell a=6.032 b=6.032 c=6.032 alpha=60.00 beta=60.00 gamma=60.00
Fractional coordinates of all 6 atoms:
In: 0.125 0.125 0.125
In: 0.125 0.125 0.626
In: 0.125 0.626 0.125
In: 0.626 0.125 0.125
Ni: 0.750 0.750 0.750
Hg: 0.500 0.500 0.500

Summary:
DOS(E_F), states/eV per atom: 0.8845
Volume, Å³/cell: 155
Distance to the lowest polymorph of the same formula, meV per atom: 516.6
Final energy, eV/atom: -2.353
ΔH_f (0 K), eV per formula unit: 2.9

***

# 5
Here is a relaxed Mg4Si3 crystal from the Alexandria database. Energies are from GGA-PBE.

Unit cell a=5.638 b=6.129 c=8.065 alpha=90.69 beta=105.36 gamma=90.49
Fractional coordinates of all 14 atoms:
Mg: 0.000 0.000 0.000
Mg: 0.026 0.691 0.401
Mg: 0.242 0.640 0.856
Mg: 0.382 0.066 0.364
Mg: 0.464 0.192 0.925
Mg: 0.629 0.819 0.678
Mg: 0.754 0.340 0.656
Mg: 0.855 0.226 0.302
Si: 0.082 0.997 0.655
Si: 0.207 0.396 0.138
Si: 0.239 0.348 0.600
Si: 0.509 0.605 0.352
Si: 0.622 0.831 0.128
Si: 0.814 0.548 0.981

Summary:
DOS(E_F), states/eV per atom: 0.2989
Volume, Å³/cell: 269
Distance to the lowest polymorph of the same formula, meV per atom: 74.2
Formation energy from raw total energies, eV per atom: 0.0421
Final energy, eV/atom: -3.193

***

# 6
Here is a relaxed MgBi2Pb crystal from the Alexandria database. Energies are from GGA-PBE.

Unit cell a=7.398 b=7.398 c=7.398 alpha=36.23 beta=36.23 gamma=36.23
Fractional coordinates of all 4 atoms:
Mg: 0.000 0.000 0.000
Bi: 0.262 0.262 0.262
Bi: 0.738 0.738 0.738
Pb: 0.500 0.500 0.500

Summary:
DOS(E_F), states/eV per atom: 0.5990
Volume, Å³/cell: 127
Final energy, eV/atom: -3.243
ΔH_f (0 K), eV per formula unit: 0.1